Record 1
A plane-wave DFT calculation with SCAN was carried out for a crystal of BaMg2Fe relaxed with PBEsol.

As for the formation energy: 503 meV per atom. For the total energy, the calculation gives -16.404 eV per atom. As for the total magnetization: 2.9 μB per formula unit. Its volume is 201.1 Å³/cell.

The structure belongs to space group I4/mmm (No. 139); the cell edges are 4.818, 4.818 and 8.666 Å and the angles 90.00°, 90.00° and 90.00°. Symmetry generates all atoms from Ba at (0.000, 0.000, 0.000), Mg at (0.000, 0.500, 0.250) and Fe at (0.000, 0.000, 0.500).

---

Record 2
A plane-wave DFT calculation with SCAN was carried out for a crystal of Te2Cl relaxed with PBEsol.

For the total energy, the calculation gives -27.572 eV per atom. The energy relative to the lowest polymorph listed for this composition comes out at 0.125 eV/atom. As for the total magnetization: 0.0 μB per formula unit. Its volume is 316.9 Å³/cell.

The structure belongs to space group C2/m (No. 12); the cell edges are 13.012, 3.182 and 8.013 Å and the angles 90.00°, 107.20° and 90.00°. Symmetry generates all atoms from Te at (0.121, 0.000, 0.070), Te at (0.140, 0.000, 0.730) and Cl at (0.110, 0.500, 0.398).

---

Record 3
A plane-wave DFT calculation with SCAN was carried out for a crystal of BRu3C relaxed with PBEsol.

As for the formation energy: 1495 meV per atom. For the total energy, the calculation gives -22.907 eV per atom. As for the total magnetization: 0.9 μB per formula unit. Its volume is 61.3 Å³/cell.

The structure belongs to space group Pm-3m (No. 221); the cell edges are 3.943, 3.943 and 3.943 Å and the angles 90.00°, 90.00° and 90.00°. Symmetry generates all atoms from B at (0.000, 0.000, 0.000), Ru at (0.000, 0.000, 0.500) and C at (0.500, 0.500, 0.500).

---

Q: Which of these has the lowest volume?
A: BRu3C

---

What did the first record say?
A plane-wave DFT calculation with SCAN was carried out for a crystal of BaMg2Fe relaxed with PBEsol.

As for the formation energy: 503 meV per atom. For the total energy, the calculation gives -16.404 eV per atom. As for the total magnetization: 2.9 μB per formula unit. Its volume is 201.1 Å³/cell.

The structure belongs to space group I4/mmm (No. 139); the cell edges are 4.818, 4.818 and 8.666 Å and the angles 90.00°, 90.00° and 90.00°. Symmetry generates all atoms from Ba at (0.000, 0.000, 0.000), Mg at (0.000, 0.500, 0.250) and Fe at (0.000, 0.000, 0.500).